No. 1
This record from the Alexandria database describes a relaxed Tb2Dy5Th2 crystal. The functional is PBE.

Results
The calculation puts the electronic total energy at -4.9909 eV/atom. Its energy above the most stable polymorph in this dataset is 0.000 eV per atom. The calculation puts the total moment at 0.00 Bohr magnetons per cell. For the density, the calculation gives 9.088 g cm⁻³. As for the symmetry: No. 46. The calculation puts the energy relative to the elements at 244 meV/atom.

a = 10.0585 Å, b = 10.0585 Å, c = 10.0585 Å
α = 85.03°, β = 107.64°, γ = 141.59°
Fractional coordinates of all 18 atoms:
Tb 0.0027 0.1250 0.1277
Tb 0.0027 0.3750 0.3777
Tb 0.9973 0.6250 0.6223
Tb 0.9973 0.8750 0.8723
Dy 0.0947 0.3914 0.8108
Dy 0.0947 0.7839 0.2033
Dy 0.3754 0.8949 0.9805
Dy 0.4200 0.2887 0.4170
Dy 0.4200 0.5030 0.6313
Dy 0.5806 0.2839 0.1892
Dy 0.5806 0.8914 0.7967
Dy 0.8716 0.0030 0.5830
Dy 0.8716 0.7887 0.3687
Dy 0.9144 0.3949 0.0195
Th 0.4681 0.7191 0.2490
Th 0.4701 0.2191 0.7510
Th 0.5349 0.0349 0.5000
Th 0.5349 0.5349 0.0000

No. 2
This record from the Alexandria database describes a relaxed TbDyTh crystal. The functional is PBE.

Results
The calculation puts the electronic total energy at -4.7712 eV/atom. Its energy above the most stable polymorph in this dataset is 0.762 eV per atom. The calculation puts the total moment at 0.00 Bohr magnetons per cell. For the density, the calculation gives 8.820 g cm⁻³. As for the symmetry: No. 198. The calculation puts the energy relative to the elements at 780 meV/atom.

a = 7.4699 Å, b = 7.4699 Å, c = 7.4699 Å
α = 90.00°, β = 90.00°, γ = 90.00°
Fractional coordinates of all 12 atoms:
Tb 0.2091 0.2909 0.7091
Tb 0.2909 0.7091 0.2091
Tb 0.7091 0.2091 0.2909
Tb 0.7909 0.7909 0.7909
Dy 0.0312 0.5312 0.9688
Dy 0.4688 0.4688 0.4688
Dy 0.5312 0.9688 0.0312
Dy 0.9688 0.0312 0.5312
Th 0.1272 0.1272 0.1272
Th 0.3728 0.8728 0.6272
Th 0.6272 0.3728 0.8728
Th 0.8728 0.6272 0.3728

No. 3
This record from the Alexandria database describes a relaxed Tb6Dy4Th crystal. The functional is PBE.

Results
The calculation puts the electronic total energy at -4.4298 eV/atom. Its energy above the most stable polymorph in this dataset is 0.298 eV per atom. The calculation puts the total moment at 0.00 Bohr magnetons per cell. For the density, the calculation gives 8.108 g cm⁻³. As for the symmetry: No. 121. The calculation puts the energy relative to the elements at 444 meV/atom.

a = 8.4943 Å, b = 8.4943 Å, c = 8.4943 Å
α = 127.31°, β = 127.31°, γ = 77.75°
Fractional coordinates of all 11 atoms:
Tb 0.0000 0.5000 0.5000
Tb 0.0511 0.5828 0.0000
Tb 0.4172 0.4172 0.4683
Tb 0.5000 0.0000 0.5000
Tb 0.5828 0.0511 0.0000
Tb 0.9489 0.9489 0.5317
Dy 0.2533 0.2533 0.6614
Dy 0.4081 0.7467 0.0000
Dy 0.5919 0.5919 0.3386
Dy 0.7467 0.4081 0.0000
Th 0.0000 0.0000 0.0000